(1)
Below is MgTlF3 after structural relaxation, with properties calculated at the PBE level.

abc: 3.3777 5.4180 7.9709
angles: 90.00 90.06 90.00
Closest atoms and distances in Å follow each position.
Space group P2_1/m (No. 11)
Asymmetric unit:
1 Mg 0.2495 0.2500 0.4089 x2  7 F 2.03-2.15
2 Tl 0.2514 0.7500 0.1266 x2  8 F 2.72-3.01
3 F 0.2491 0.2500 0.1543 x2  1 Mg 2.03
4 F 0.2503 0.5066 0.6153 x4  3 Mg 2.15

- crystal system = monoclinic
- energy relative to the elements, uncorrected (meV per atom) = -2723

(2)
Below is BaNa2PtO after structural relaxation, with properties calculated at the PBE level.

abc: 4.6061 4.6061 5.3601
angles: 90.00 90.00 90.00
Closest atoms and distances in Å follow each position.
Space group P4/mmm (No. 123)
Asymmetric unit:
1 Ba 0.0000 0.0000 0.0000 x1  2 O 2.68
2 Na 0.0000 0.5000 0.5000 x2  2 O 2.30
3 Pt 0.5000 0.5000 0.0000 x1  4 Ba 3.26, 8 Na 3.53
4 O 0.0000 0.0000 0.5000 x1  4 Na 2.30

- crystal system = tetragonal
- energy relative to the elements, uncorrected (meV per atom) = -988

- Which formula does entry 2 have?
  BaNa2PtO